Record 1
## KBiAuSe2 (PBE)

Data for an optimized crystal structure of KBiAuSe2.

Cell: 7.4680 4.9626 8.6769 Å, 90.00 100.72 90.00°
Closest atoms and distances in Å follow each position.
Fractional coordinates of all 10 atoms:
K 0.0000 0.1626 0.2500  6 Se 3.39-3.46
K 0.0000 0.8374 0.7500  6 Se 3.39-3.46
Bi 0.5000 0.4347 0.7500  4 Se 2.99-3.05, 2 Au 3.06
Bi 0.5000 0.5653 0.2500  4 Se 2.99-3.05, 2 Au 3.06
Au 0.5000 0.0000 0.0000  2 Se 2.50
Au 0.5000 0.0000 0.5000  2 Se 2.50
Se 0.2424 0.3282 0.9681  1 Au 2.50
Se 0.2424 0.6718 0.4681  1 Au 2.50
Se 0.7576 0.3282 0.5319  1 Au 2.50
Se 0.7576 0.6718 0.0319  1 Au 2.50

Properties
**N(E_F)**: 3.21 states/eV/cell
**VASP energy**: -35.34 eV/cell
**ρ**: 6.3 g cm⁻³
**E_form (uncorrected)**: -489 meV/atom
**Total magnetic moment**: 0.000 μB/atom
**Symmetry**: P2/c

Record 2
## KBi2AuSe4 (PBE)

Data for an optimized crystal structure of KBi2AuSe4.

Cell: 7.3263 7.3263 15.5546 Å, 90.00 90.00 145.15°
Closest atoms and distances in Å follow each position.
Fractional coordinates of all 16 atoms:
K 0.1271 0.8729 0.7500  6 Se 3.36-3.48, 1 Au 3.66
K 0.8729 0.1271 0.2500  6 Se 3.36-3.48, 1 Au 3.66
Bi 0.3659 0.6341 0.5586  6 Se 2.88-3.18
Bi 0.3659 0.6341 0.9414  6 Se 2.88-3.18
Bi 0.6341 0.3659 0.0586  6 Se 2.88-3.18
Bi 0.6341 0.3659 0.4414  6 Se 2.88-3.18
Au 0.1351 0.8649 0.2500  2 Se 2.47
Au 0.8649 0.1351 0.7500  2 Se 2.47
Se 0.0000 0.0000 0.0000  4 Bi 3.03
Se 0.0000 0.0000 0.5000  4 Bi 3.03
Se 0.2686 0.7314 0.1043  3 Bi 2.88-2.98, 1 Au 2.94
Se 0.2686 0.7314 0.3957  3 Bi 2.88-2.98, 1 Au 2.94
Se 0.4454 0.5546 0.7500  2 Au 2.47
Se 0.5546 0.4454 0.2500  2 Au 2.47
Se 0.7314 0.2686 0.6043  3 Bi 2.88-2.98, 1 Au 2.94
Se 0.7314 0.2686 0.8957  3 Bi 2.88-2.98, 1 Au 2.94

Properties
**N(E_F)**: 2.11 states/eV/cell
**VASP energy**: -59.62 eV/cell
**ρ**: 6.8 g cm⁻³
**E_form (uncorrected)**: -467 meV/atom
**Total magnetic moment**: 0.000 μB/atom
**Symmetry**: Cmcm